PBE CdIn2Ir, optimized geometry; SG = F-43m, No. 216; crystal system = cubic; total DFT energy (no corrections) = -3.545 eV per atom
1.0
0.0000 3.4253 3.4253
3.4253 0.0000 3.4253
3.4253 3.4253 0.0000
Cd In Ir
1 2 1
Direct
0.7500 0.7500 0.7500 Cd
0.2500 0.2500 0.2500 In
0.5000 0.5000 0.5000 In
0.0000 0.0000 0.0000 Ir

PBE Tb3P2Se, optimized geometry; SG = P-3m1, No. 164; crystal system = trigonal; total DFT energy (no corrections) = -6.454 eV per atom
1.0
4.0410 0.0000 0.0000
-2.0205 3.4996 0.0000
0.0000 0.0000 9.9905
P Se Tb
2 1 3
Direct
0.3333 0.6667 0.3353 P
0.6667 0.3333 0.6647 P
0.0000 0.0000 0.0000 Se
0.6667 0.3333 0.1851 Tb
0.0000 0.0000 0.5000 Tb
0.3333 0.6667 0.8149 Tb

PBE NbInCl8, optimized geometry; SG = Cmcm, No. 63; crystal system = orthorhombic; total DFT energy (no corrections) = -3.885 eV per atom
1.0
4.0537 -8.7898 0.0000
4.0537 8.7898 0.0000
0.0000 0.0000 8.2573
Cl In Nb
16 2 2
Direct
0.6087 0.3913 0.0102 Cl
0.1314 0.8686 0.0273 Cl
0.5611 0.0062 0.2500 Cl
0.1874 0.2397 0.2500 Cl
0.9938 0.4389 0.2500 Cl
0.7603 0.8126 0.2500 Cl
0.1314 0.8686 0.4727 Cl
0.6087 0.3913 0.4898 Cl
0.3913 0.6087 0.5102 Cl
0.8686 0.1314 0.5273 Cl
0.2397 0.1874 0.7500 Cl
0.0062 0.5611 0.7500 Cl
0.8126 0.7603 0.7500 Cl
0.4389 0.9938 0.7500 Cl
0.8686 0.1314 0.9727 Cl
0.3913 0.6087 0.9898 Cl
0.6785 0.3215 0.2500 In
0.3215 0.6785 0.7500 In
0.8914 0.1086 0.2500 Nb
0.1086 0.8914 0.7500 Nb

PBE YErGa2Cu4, optimized geometry; SG = P-6m2, No. 187; crystal system = hexagonal; total DFT energy (no corrections) = -4.368 eV per atom
1.0
-3.0253 -0.7198 -2.9144
-0.6460 -1.1154 4.0624
-3.3909 7.7829 1.5977
Cu Er Ga Y
4 1 2 1
Direct
0.3333 0.6667 0.1663 Cu
0.0000 0.0000 0.3249 Cu
0.0000 0.0000 0.6751 Cu
0.3333 0.6667 0.8337 Cu
0.0000 0.0000 0.0000 Er
0.6667 0.3333 0.2494 Ga
0.6667 0.3333 0.7506 Ga
0.3333 0.6667 0.5000 Y

PBE SrSmHf2, optimized geometry; SG = Cmcm, No. 63; crystal system = orthorhombic; total DFT energy (no corrections) = -5.841 eV per atom
1.0
-5.5843 1.4964 2.6095
-1.9967 -4.1240 -4.3863
0.6475 -4.5821 4.0133
Hf Sm Sr
4 2 2
Direct
0.5393 0.1018 0.2500 Hf
0.8982 0.4607 0.2500 Hf
0.1018 0.5393 0.7500 Hf
0.4607 0.8982 0.7500 Hf
0.0000 0.0000 0.0000 Sm
0.0000 0.0000 0.5000 Sm
0.3981 0.6019 0.2500 Sr
0.6019 0.3981 0.7500 Sr

PBE Er2TmAl3Si2Pd, optimized geometry; SG = Amm2, No. 38; crystal system = orthorhombic; total DFT energy (no corrections) = -5.338 eV per atom
1.0
-3.6534 -2.0140 0.6472
3.2368 -6.0002 -0.4003
-0.6548 3.1275 6.0357
Al Er Pd Si Tm
3 2 1 2 1
Direct
0.5000 0.2398 0.2398 Al
0.5000 0.9998 0.7603 Al
0.5000 0.7603 0.9998 Al
0.0000 0.4182 0.0002 Er
0.0000 0.0002 0.4182 Er
0.0000 0.9989 0.9989 Pd
0.5000 0.6664 0.3341 Si
0.5000 0.3341 0.6664 Si
0.0000 0.5822 0.5822 Tm

PBE KNbF3, optimized geometry; SG = Pm-3m, No. 221; crystal system = cubic; total DFT energy (no corrections) = -4.242 eV per atom
1.0
4.4761 0.0000 0.0000
0.0000 4.4761 0.0000
0.0000 0.0000 4.4761
F K Nb
3 1 1
Direct
0.5000 0.0000 0.0000 F
0.0000 0.5000 0.0000 F
0.0000 0.0000 0.5000 F
0.0000 0.0000 0.0000 K
0.5000 0.5000 0.5000 Nb

PBE Lu2TlPt, optimized geometry; SG = F-43m, No. 216; crystal system = cubic; total DFT energy (no corrections) = -4.691 eV per atom
1.0
0.0000 3.5149 3.5149
3.5149 0.0000 3.5149
3.5149 3.5149 0.0000
Lu Pt Tl
2 1 1
Direct
0.0000 0.0000 0.0000 Lu
0.7500 0.7500 0.7500 Lu
0.2500 0.2500 0.2500 Pt
0.5000 0.5000 0.5000 Tl

PBE DyBe3P, optimized geometry; SG = Pm-3m, No. 221; crystal system = cubic; total DFT energy (no corrections) = -3.884 eV per atom
1.0
-3.8665 -1.6395 0.3270
0.7856 -1.0545 4.0019
-1.4757 3.7343 1.2736
Be Dy P
3 1 1
Direct
0.5000 0.5000 0.0000 Be
0.5000 0.0000 0.5000 Be
0.0000 0.5000 0.5000 Be
0.0000 0.0000 0.0000 Dy
0.5000 0.5000 0.5000 P

PBE Dy3Zn3Ir2Pt, optimized geometry; SG = P-62m, No. 189; crystal system = hexagonal; total DFT energy (no corrections) = -5.392 eV per atom; calculated formation energy = -0.80 eV per atom
1.0
-3.5724 -4.4190 -4.3932
7.0772 -0.8042 0.9256
-0.6645 -2.4219 2.9764
Dy Ir Pt Zn
3 2 1 3
Direct
0.5918 0.0000 0.0000 Dy
0.4082 0.4082 0.0000 Dy
0.0000 0.5918 0.0000 Dy
0.6667 0.3333 0.5000 Ir
0.3333 0.6667 0.5000 Ir
0.0000 0.0000 0.0000 Pt
0.2532 0.0000 0.5000 Zn
0.0000 0.2532 0.5000 Zn
0.7468 0.7468 0.5000 Zn

PBE SrMg2CdIn, optimized geometry; SG = I4mm, No. 107; crystal system = tetragonal; total DFT energy (no corrections) = -1.929 eV per atom
1.0
-2.3070 2.3070 6.5301
2.3070 -2.3070 6.5301
2.3070 2.3070 -6.5301
Cd In Mg Sr
1 1 2 1
Direct
0.6108 0.6108 0.0000 Cd
0.3912 0.3912 0.0000 In
0.7491 0.2491 0.5000 Mg
0.2491 0.7491 0.5000 Mg
0.9998 0.9998 0.0000 Sr

PBE Cu4Ag, optimized geometry; SG = P2/m, No. 10; crystal system = monoclinic; total DFT energy (no corrections) = -3.469 eV per atom; calculated formation energy = 0.07 eV per atom
1.0
-2.1520 -3.0350 2.5553
-0.5803 -1.4365 -2.1949
9.6217 -4.8239 0.6133
Ag Cu
2 8
Direct
0.2755 0.5000 0.3996 Ag
0.7245 0.5000 0.6004 Ag
0.0000 0.0000 0.0000 Cu
0.5000 0.5000 0.0000 Cu
0.3913 0.0000 0.1882 Cu
0.8883 0.5000 0.1892 Cu
0.7755 0.0000 0.3798 Cu
0.2245 0.0000 0.6202 Cu
0.1117 0.5000 0.8108 Cu
0.6087 0.0000 0.8118 Cu

Question: total DFT energy (no corrections) of number 4 (YErGa2Cu4)?
Answer: -4.368 eV per atom